Run 1
Entry from OQMD: crystalline AcTaPO at its relaxed geometry (PBE-GGA).

a b c (Å): 3.902 6.528 6.666
angles (deg): 90.00 90.00 90.00
Element x y z (fractional)
1 Ac 0.000 0.773 0.039
2 Ac 0.000 0.227 0.539
3 O 0.000 0.848 0.461
4 O 0.000 0.152 0.961
5 P 0.500 0.474 0.264
6 P 0.500 0.526 0.764
7 Ta 0.500 0.759 0.490
8 Ta 0.500 0.241 0.990

Computed properties:
- crystal system = orthorhombic


Run 2
Entry from OQMD: crystalline AcTaPO at its relaxed geometry (PBE-GGA).

a b c (Å): 4.077 4.077 9.606
angles (deg): 90.00 90.00 90.00
Element x y z (fractional)
1 Ac 0.000 0.000 0.139
2 Ac 0.500 0.500 0.861
3 O 0.500 0.000 0.000
4 O 0.000 0.500 0.000
5 P 0.500 0.500 0.335
6 P 0.000 0.000 0.665
7 Ta 0.500 0.000 0.500
8 Ta 0.000 0.500 0.500

Computed properties:
- crystal system = tetragonal


Run 3
Entry from OQMD: crystalline AcTaPO at its relaxed geometry (PBE-GGA).

a b c (Å): 4.642 6.369 6.111
angles (deg): 90.00 90.00 90.00
Element x y z (fractional)
1 Ac 0.000 0.723 0.457
2 Ac 0.000 0.277 0.957
3 O 0.500 0.836 0.334
4 O 0.500 0.164 0.834
5 P 0.000 0.231 0.453
6 P 0.000 0.769 0.953
7 Ta 0.500 0.887 0.010
8 Ta 0.500 0.113 0.510

Computed properties:
- crystal system = orthorhombic


Run 4
Entry from OQMD: crystalline AcTaPO at its relaxed geometry (PBE-GGA).

a b c (Å): 4.418 4.418 9.019
angles (deg): 90.00 90.00 90.00
Element x y z (fractional)
1 Ac 0.000 0.000 0.500
2 Ac 0.500 0.500 0.500
3 O 0.000 0.000 0.000
4 O 0.500 0.500 0.000
5 P 0.500 0.000 0.272
6 P 0.000 0.500 0.728
7 Ta 0.500 0.000 0.011
8 Ta 0.000 0.500 0.989

Computed properties:
- crystal system = tetragonal


Which structure above is the least stable one? run 4 is the least stable one.